The following is a DFT calculation (PBE-GGA) of Pm2PaCo3 after structural relaxation.

Computed properties:
**DOS at the Fermi energy**: 15.9 states/eV/cell
**E_tot**: -6.89 eV/atom

a b c (Å): 6.2818 3.8282 20.1685
angles (deg): 90.00 90.00 90.00
Closest atoms and distances in Å follow each position.
Space group Pnma (No. 62)
Inequivalent atoms, fractional coordinates:
Pm (0.1206, 0.2500, 0.0728)  7 Co 2.98-3.28
Pm (0.1241, 0.2500, 0.2633)  8 Co 2.99-3.05, 2 Pm 3.19
Pa (0.1208, 0.7500, 0.4050)  4 Co 2.32-2.55
Co (0.0879, 0.2500, 0.8340)  1 Pa 2.32
Co (0.1366, 0.2500, 0.4881)  3 Pa 2.55-2.69, 2 Co 2.62
Co (0.1700, 0.2500, 0.6665)  1 Pa 2.33